Entry 1:
LiUPb2O8 | PBE | relaxed

abc: 6.2186 6.2186 6.2186
angles: 109.58 109.58 109.25
Each line ends with the local moment (μB).
Fractional coordinates of all 12 atoms:
Li  0.0000  0.0000  0.0000  0.00
U  0.2500  0.7500  0.5000  -0.11
Pb  0.7500  0.2500  0.5000  -0.01
Pb  0.5000  0.5000  0.0000  0.00
O  0.3366  0.0279  0.3087  0.21
O  0.3130  0.5310  0.2179  0.03
O  0.3130  0.0951  0.7821  0.03
O  0.7192  0.0279  0.6913  0.21
O  0.9049  0.6870  0.2179  0.03
O  0.9721  0.2808  0.3087  0.21
O  0.9721  0.6634  0.6913  0.21
O  0.4690  0.6870  0.7821  0.03

Summary:
uncorrected energy: -76.02 eV for the cell shown
density: 7.06 g/cm³


Entry 2:
LiUPbO6 | PBE | relaxed

abc: 5.0188 5.0188 9.8415
angles: 90.00 90.00 90.00
Each line ends with the local moment (μB).
Fractional coordinates of all 18 atoms:
Li  0.5000  0.5000  0.4996  0.00
Li  0.0000  0.0000  0.9996  0.00
U  0.5000  0.5000  0.1680  -0.01
U  0.0000  0.0000  0.6680  -0.01
Pb  0.5000  0.5000  0.8311  -0.01
Pb  0.0000  0.0000  0.3311  -0.01
O  0.1937  0.8063  0.5094  0.11
O  0.8063  0.1937  0.5094  0.11
O  0.3063  0.3063  0.0094  0.11
O  0.6937  0.6937  0.0094  0.11
O  0.2053  0.7947  0.1668  0.13
O  0.7947  0.2053  0.1668  0.13
O  0.2947  0.2947  0.6668  0.13
O  0.7053  0.7053  0.6668  0.13
O  0.8088  0.1912  0.8245  0.07
O  0.1912  0.8088  0.8245  0.07
O  0.6912  0.6912  0.3245  0.07
O  0.3088  0.3088  0.3245  0.07

Summary:
uncorrected energy: -126.37 eV for the cell shown
density: 7.34 g/cm³